Arrangement 1

The following is a PBE-GGA calculation of a geometry-optimized HRuAu2 structure, from the Alexandria database.

Magnetic moment ... 0.275 μB per atom
Density of states at the Fermi level ... 1.84 states/eV/atom

Lattice parameters (Å, degrees): 4.394 4.394 4.394 60.00 60.00 60.00
Fractional coordinates of all 4 atoms:
H1 0.000 0.000 0.000
Ru1 0.500 0.500 0.500
Au1 0.250 0.250 0.250
Au2 0.750 0.750 0.750

---

Arrangement 2

The following is a PBE-GGA calculation of a geometry-optimized HRuAu2 structure, from the Alexandria database.

Magnetic moment ... 0.000 μB per atom
Density of states at the Fermi level ... 1.28 states/eV/atom

Lattice parameters (Å, degrees): 5.250 5.250 5.250 105.88 105.88 116.93
Fractional coordinates of all 8 atoms:
H1 0.000 0.000 0.000
H2 0.750 0.250 0.500
Ru1 0.250 0.750 0.500
Ru2 0.500 0.500 0.000
Au1 0.032 0.625 0.907
Au2 0.375 0.282 0.407
Au3 0.718 0.125 0.093
Au4 0.875 0.968 0.593

---

So which one is most stable? That would be arrangement 2, about 324 meV/atom below the next structure.